# CsPrTc | OQMD via LeMat-Bulk | PBE-GGA | relaxed
data_CsPrTc
_space_group_name_H-M_alt 'F -4 3 m'
_space_group_IT_number 216
_space_group_name_Hall 'F -4 2 3'
_cell_length_a 7.327
_cell_length_b 7.327
_cell_length_c 7.327
_cell_angle_alpha 90.00
_cell_angle_beta 90.00
_cell_angle_gamma 90.00
loop_
_atom_site_label
_atom_site_type_symbol
_atom_site_fract_x
_atom_site_fract_y
_atom_site_fract_z
Cs1 Cs 0.000 0.000 0.000
Pr1 Pr 0.250 0.250 0.250
Tc1 Tc 0.000 0.000 0.500
# * electronic total energy: -44.110 eV/cell
# * volume: 32.77 Å³/atom